[1]
PmTmCoCu: relaxed, PBE.

Structure (POSCAR):
```
PmTmCoCu
1.0
4.845 0.000 0.000
2.422 4.196 0.000
2.422 1.399 3.956
Pm Co Cu Tm
1 1 1 1
Cartesian
0.000 0.000 0.000
7.267 4.196 2.967
2.422 1.399 0.989
4.845 2.797 1.978
```

Summary:
- formation enthalpy at 0 K (eV per atom) = -0.149
- N(E_F) (states/eV per cell) = 3.38
- ΔE to the lowest computed polymorph (eV/atom) = 0.0316
- V (Å³/f.u.) = 80
- total DFT energy (no corrections) (Ha/atom) = -0.193


[2]
EuErIr: relaxed, PBE.

Structure (POSCAR):
```
EuErIr
1.0
3.460 0.000 0.000
0.000 3.460 0.000
-1.730 -1.730 6.641
Er Ir Eu
1 1 1
Cartesian
0.000 0.000 3.828
1.730 1.730 2.366
0.000 0.000 0.446
```

Summary:
- formation enthalpy at 0 K (eV per atom) = -0.485
- N(E_F) (states/eV per cell) = 9.00
- ΔE to the lowest computed polymorph (eV/atom) = 0.0345
- V (Å³/f.u.) = 80
- total DFT energy (no corrections) (Ha/atom) = -0.308


Question: ΔE to the lowest computed polymorph of number 2 (EuErIr)?
Answer: 0.0345 eV/atom